{"formula": "BaMoI2Cl", "functional": "PBE", "state": "relaxed", "lattice_angstrom": [[5.257, 0.000, 0.000], [0.000, 5.257, 0.000], [0.000, 0.000, 6.803]], "species": ["Ba", "Mo", "I", "I", "Cl"], "frac_coords": [[0.000, 0.000, 0.000], [0.000, 0.000, 0.500], [0.000, 0.500, 0.500], [0.500, 0.000, 0.500], [0.500, 0.500, 0.000]], "e_form_raw_ev_per_atom": -0.376, "dft_energy_ev_per_atom": -3.917, "mass_density_g_cm3": 4.62}


{"formula": "BaMo2ICl", "functional": "PBE", "state": "relaxed", "lattice_angstrom": [[6.911, 0.000, 0.000], [0.000, 6.911, 0.000], [0.000, 0.000, 6.369]], "species": ["Ba", "Mo", "Mo", "I", "Cl"], "frac_coords": [[0.000, 0.000, 0.000], [0.000, 0.500, 0.000], [0.500, 0.000, 0.000], [0.000, 0.000, 0.500], [0.500, 0.500, 0.500]], "e_form_raw_ev_per_atom": 1.815, "dft_energy_ev_per_atom": -3.582, "mass_density_g_cm3": 2.68}


{"formula": "Ba6I3N2Cl", "functional": "PBE", "state": "relaxed", "lattice_angstrom": [[3.784, -6.560, 0.000], [3.784, 6.560, 0.000], [-2.536, 0.000, 8.321]], "species": ["Ba", "Ba", "Ba", "Ba", "Ba", "Ba", "I", "I", "I", "N", "N", "Cl"], "frac_coords": [[0.069, 0.437, 0.813], [0.194, 0.194, 0.183], [0.437, 0.069, 0.813], [0.563, 0.931, 0.187], [0.806, 0.806, 0.817], [0.931, 0.563, 0.187], [0.000, 0.000, 0.500], [0.342, 0.658, 0.500], [0.658, 0.342, 0.500], [0.168, 0.832, 0.000], [0.832, 0.168, 0.000], [0.500, 0.500, 0.000]], "e_form_raw_ev_per_atom": -1.185, "dft_energy_ev_per_atom": -4.075, "mass_density_g_cm3": 5.10}


{"formula": "BaNa2ICl", "functional": "PBE", "state": "relaxed", "lattice_angstrom": [[5.316, 0.000, 0.000], [0.000, 5.316, 0.000], [0.000, 0.000, 7.012]], "species": ["Ba", "Na", "Na", "I", "Cl"], "frac_coords": [[0.000, 0.000, 0.000], [0.000, 0.500, 0.500], [0.500, 0.000, 0.500], [0.500, 0.500, 0.000], [0.000, 0.000, 0.500]], "e_form_raw_ev_per_atom": -0.950, "dft_energy_ev_per_atom": -2.541, "mass_density_g_cm3": 2.90}


{"formula": "BaIClO4", "functional": "PBE", "state": "relaxed", "lattice_angstrom": [[5.659, -4.176, 0.000], [5.659, 4.176, 0.000], [-1.973, 0.000, 7.444]], "species": ["Ba", "Ba", "I", "I", "Cl", "Cl", "O", "O", "O", "O", "O", "O", "O", "O"], "frac_coords": [[0.210, 0.210, 0.138], [0.790, 0.790, 0.862], [0.367, 0.367, 0.745], [0.633, 0.633, 0.255], [0.030, 0.030, 0.771], [0.970, 0.970, 0.229], [0.146, 0.485, 0.850], [0.303, 0.303, 0.508], [0.470, 0.470, 0.206], [0.485, 0.146, 0.850], [0.515, 0.854, 0.150], [0.530, 0.530, 0.794], [0.697, 0.697, 0.492], [0.854, 0.515, 0.150]], "e_form_raw_ev_per_atom": -1.063, "dft_energy_ev_per_atom": -4.656, "mass_density_g_cm3": 3.43}


{"formula": "Ba8P3I3Cl", "functional": "PBE", "state": "relaxed", "lattice_angstrom": [[4.783, 2.762, 8.072], [-4.783, 2.762, 8.072], [0.000, -5.523, 8.072]], "species": ["Ba", "Ba", "Ba", "Ba", "Ba", "Ba", "Ba", "Ba", "P", "P", "P", "I", "I", "I", "Cl"], "frac_coords": [[0.213, 0.753, 0.753], [0.236, 0.236, 0.236], [0.247, 0.247, 0.787], [0.247, 0.787, 0.247], [0.753, 0.213, 0.753], [0.753, 0.753, 0.213], [0.764, 0.764, 0.764], [0.787, 0.247, 0.247], [0.000, 0.000, 0.500], [0.000, 0.500, 0.000], [0.500, 0.000, 0.000], [0.000, 0.500, 0.500], [0.500, 0.000, 0.500], [0.500, 0.500, 0.000], [0.500, 0.500, 0.500]], "e_form_raw_ev_per_atom": -1.366, "dft_energy_ev_per_atom": -3.907, "mass_density_g_cm3": 4.17}


{"formula": "Ba4PICl2", "functional": "PBE", "state": "relaxed", "lattice_angstrom": [[7.945, 0.000, 0.000], [0.000, 4.668, 0.000], [-2.785, 0.000, 7.966]], "species": ["Ba", "Ba", "Ba", "Ba", "P", "I", "Cl", "Cl"], "frac_coords": [[0.237, 0.000, 0.219], [0.253, 0.500, 0.782], [0.747, 0.500, 0.218], [0.763, 0.000, 0.781], [0.000, 0.500, 0.000], [0.000, 0.000, 0.500], [0.500, 0.000, 0.000], [0.500, 0.500, 0.500]], "e_form_raw_ev_per_atom": -1.597, "dft_energy_ev_per_atom": -3.890, "mass_density_g_cm3": 4.37}


{"formula": "Ba6P2I3Cl", "functional": "PBE", "state": "relaxed", "lattice_angstrom": [[4.093, -7.081, 0.000], [4.093, 7.081, 0.000], [-2.717, 0.000, 8.252]], "species": ["Ba", "Ba", "Ba", "Ba", "Ba", "Ba", "P", "P", "I", "I", "I", "Cl"], "frac_coords": [[0.082, 0.430, 0.791], [0.221, 0.221, 0.207], [0.430, 0.082, 0.791], [0.570, 0.918, 0.209], [0.779, 0.779, 0.793], [0.918, 0.570, 0.209], [0.167, 0.833, 0.000], [0.833, 0.167, 0.000], [0.000, 0.000, 0.500], [0.337, 0.663, 0.500], [0.663, 0.337, 0.500], [0.500, 0.500, 0.000]], "e_form_raw_ev_per_atom": -1.494, "dft_energy_ev_per_atom": -3.899, "mass_density_g_cm3": 4.52}